No. 1
VASP calculation (PBE) on a relaxed structure of Pr3HoBi4.

```
Pr3HoBi4
1.0
6.5020 0.0000 0.0000
0.0000 6.5020 0.0000
0.0000 0.0000 6.5020
Pr Ho Bi
3 1 4
Direct
0.0000 0.5000 0.5000
0.5000 0.0000 0.5000
0.5000 0.5000 0.0000
0.0000 0.0000 0.0000
0.5000 0.0000 0.0000
0.0000 0.5000 0.0000
0.0000 0.0000 0.5000
0.5000 0.5000 0.5000
```

Computed properties:
formation energy from the elements = -0.920 eV/atom
total DFT energy (no corrections) = -5.23 eV per atom
N(E_F) = 0.6 states/eV/f.u.

No. 2
VASP calculation (PBE) on a relaxed structure of DyAl3Ag3.

```
DyAl3Ag3
1.0
-6.1817 0.6577 3.1465
1.1068 -5.9676 3.4220
3.0179 3.5359 5.1901
Al Ag Dy
6 6 2
Direct
0.0000 0.2500 0.5000
0.0000 0.7500 0.5000
0.5000 0.0000 0.7500
0.7500 0.5000 0.0000
0.5000 0.0000 0.2500
0.2500 0.5000 0.0000
0.2500 0.0000 0.5000
0.0000 0.5000 0.2500
0.5000 0.7500 0.0000
0.7500 0.0000 0.5000
0.0000 0.5000 0.7500
0.5000 0.2500 0.0000
0.5000 0.5000 0.5000
0.0000 0.0000 0.0000
```

Computed properties:
energy relative to the lowest polymorph listed for this composition = 410 meV per atom
formation energy from the elements = 0.316 eV/atom
total DFT energy (no corrections) = -3.17 eV per atom
N(E_F) = 3.9 states/eV/f.u.

No. 3
VASP calculation (PBE) on a relaxed structure of MgU2Ni9.

```
MgU2Ni9
1.0
4.8188 0.0000 0.0000
2.4094 4.1732 0.0000
2.4094 1.3911 8.1299
Mg U Ni
1 2 9
Direct
0.0000 0.0000 0.0000
0.8600 0.8600 0.4201
0.1400 0.1400 0.5799
0.6673 0.6673 0.9981
0.3327 0.3327 0.0019
0.5000 0.5000 0.5000
0.4170 0.4170 0.2482
0.9179 0.4170 0.2482
0.4170 0.9179 0.2482
0.5830 0.5830 0.7518
0.5830 0.0821 0.7518
0.0821 0.5830 0.7518
```

Computed properties:
energy relative to the lowest polymorph listed for this composition = 0 meV per atom
formation energy from the elements = -0.197 eV/atom
total DFT energy (no corrections) = -6.55 eV per atom
N(E_F) = 17.3 states/eV/f.u.

No. 4
VASP calculation (PBE) on a relaxed structure of Nd4YEr3Te8.

```
Nd4YEr3Te8
1.0
-0.0323 -7.3576 4.6727
-1.9508 -4.6789 -7.3808
7.0340 5.1476 0.0250
Nd Y Er Te
4 1 3 8
Direct
0.5000 0.0000 0.0000
0.5000 0.0000 0.5000
0.0000 0.0000 0.0000
0.0000 0.0000 0.5000
0.0000 0.5000 0.0000
0.5000 0.5000 0.0000
0.5000 0.5000 0.5000
0.0000 0.5000 0.5000
0.2461 0.7355 0.9893
0.2462 0.7355 0.4923
0.2553 0.2658 0.5106
0.7432 0.7355 0.9893
0.2568 0.2645 0.0107
0.7447 0.7342 0.4894
0.7538 0.2645 0.5077
0.7539 0.2645 0.0107
```

Computed properties:
total DFT energy (no corrections) = -5.36 eV per atom
N(E_F) = 10.6 states/eV/f.u.
raw formation energy = -1.33 eV per atom

No. 5
VASP calculation (PBE) on a relaxed structure of Na7TlCd2.

```
Na7TlCd2
1.0
5.3891 0.0000 0.0000
-2.6945 4.6671 0.0000
0.0000 0.0000 12.7281
Na Tl Cd
7 1 2
Direct
0.6667 0.3333 0.5946
0.6667 0.3333 0.8512
0.0000 0.0000 0.6849
0.0000 0.0000 0.2594
0.3333 0.6667 0.4475
0.3333 0.6667 0.0154
0.6667 0.3333 0.1099
0.0000 0.0000 0.9493
0.3333 0.6667 0.7519
0.6667 0.3333 0.3524
```

Computed properties:
formation energy from the elements = -0.009 eV/atom
total DFT energy (no corrections) = -1.35 eV per atom
N(E_F) = 4.8 states/eV/f.u.

No. 6
VASP calculation (PBE) on a relaxed structure of FeRe3.

```
FeRe3
1.0
-1.0707 -4.9959 1.9002
0.2267 -1.7075 -4.3615
12.9354 -2.1903 1.5299
Fe Re
6 18
Direct
0.2500 0.9936 0.2500
0.2500 0.6654 0.5801
0.2500 0.6654 0.9199
0.7500 0.0064 0.7500
0.7500 0.3346 0.0801
0.7500 0.3346 0.4199
0.0010 0.1681 0.5858
0.0010 0.1681 0.9142
0.0017 0.4916 0.2500
0.9983 0.5084 0.7500
0.9990 0.8319 0.0858
0.9990 0.8319 0.4142
0.2500 0.9989 0.7500
0.2500 0.3288 0.0836
0.2500 0.3288 0.4164
0.4990 0.1681 0.5858
0.4990 0.1681 0.9142
0.4983 0.4916 0.2500
0.5017 0.5084 0.7500
0.5010 0.8319 0.0858
0.5010 0.8319 0.4142
0.7500 0.0011 0.2500
0.7500 0.6712 0.5836
0.7500 0.6712 0.9164
```

Computed properties:
formation energy from the elements = 0.042 eV/atom
total DFT energy (no corrections) = -11.41 eV per atom
N(E_F) = 2.9 states/eV/f.u.

No. 7
VASP calculation (PBE) on a relaxed structure of Cs12Ag5I3.

```
Cs12Ag5I3
1.0
19.4456 0.0000 0.0000
-6.4819 18.3335 0.0000
-6.4819 -9.1668 15.8773
I Ag Cs
12 20 48
Direct
0.7500 0.3750 0.1250
0.8750 0.7500 0.1250
0.3750 0.7500 0.6250
0.2500 0.1250 0.3750
0.8750 0.1250 0.2500
0.3750 0.6250 0.2500
0.6250 0.3750 0.7500
0.1250 0.8750 0.7500
0.7500 0.8750 0.6250
0.6250 0.2500 0.3750
0.1250 0.2500 0.8750
0.2500 0.6250 0.8750
0.1250 0.3750 0.2500
0.0000 0.5000 0.0000
0.0000 0.0000 0.0000
0.3750 0.2500 0.1250
0.5000 0.0000 0.5000
0.5000 0.5000 0.0000
0.1250 0.7500 0.3750
0.7500 0.1250 0.8750
0.7500 0.6250 0.3750
0.3750 0.1250 0.7500
0.6250 0.8750 0.2500
0.5000 0.5000 0.5000
0.5000 0.0000 0.0000
0.0000 0.0000 0.5000
0.2500 0.3750 0.6250
0.2500 0.8750 0.1250
0.0000 0.5000 0.5000
0.8750 0.2500 0.6250
0.6250 0.7500 0.8750
0.8750 0.6250 0.7500
0.7212 0.1238 0.0455
0.3243 0.5455 0.4217
0.9545 0.3762 0.2788
0.5455 0.2212 0.1238
0.5974 0.7212 0.6757
0.9545 0.5783 0.1757
0.3243 0.7788 0.4026
0.0783 0.9026 0.1238
0.5783 0.9545 0.6757
0.7212 0.5974 0.1757
0.7788 0.4545 0.3762
0.8243 0.9217 0.0455
0.1238 0.7212 0.5455
0.3762 0.4217 0.0974
0.0974 0.9217 0.3762
0.4026 0.1238 0.5783
0.0974 0.1757 0.2212
0.4545 0.6757 0.0783
0.8243 0.9026 0.2788
0.1238 0.4026 0.0783
0.3762 0.9545 0.7788
0.5783 0.6238 0.4026
0.9217 0.8243 0.5455
0.7788 0.3243 0.9026
0.4217 0.3762 0.5974
0.0783 0.1757 0.4545
0.2212 0.6757 0.0974
0.1757 0.0974 0.7212
0.6238 0.0455 0.2212
0.8762 0.5974 0.9217
0.5455 0.3243 0.9217
0.5974 0.8762 0.4217
0.9026 0.8243 0.7788
0.9026 0.0783 0.6238
0.8762 0.2788 0.4545
0.1757 0.0783 0.9545
0.6238 0.5783 0.9026
0.4217 0.0455 0.3243
0.2788 0.4026 0.8243
0.2212 0.5455 0.6238
0.9217 0.0974 0.8762
0.6757 0.2212 0.5974
0.4545 0.7788 0.8762
0.0455 0.4217 0.8243
0.4026 0.2788 0.3243
0.0455 0.6238 0.7212
0.6757 0.4545 0.5783
0.2788 0.8762 0.9545
```

Computed properties:
total DFT energy (no corrections) = -1.78 eV per atom
N(E_F) = 16.8 states/eV/f.u.
raw formation energy = -0.32 eV per atom

No. 8
VASP calculation (PBE) on a relaxed structure of KGa2Ge2.

```
KGa2Ge2
1.0
4.6020 0.0000 0.0000
0.0000 4.6020 0.0000
2.3010 2.3010 5.3819
Ge K Ga
2 1 2
Direct
0.7500 0.2500 0.5000
0.2500 0.7500 0.5000
0.0000 0.0000 0.0000
0.3798 0.3798 0.2403
0.6202 0.6202 0.7597
```

Computed properties:
energy relative to the lowest polymorph listed for this composition = 17 meV per atom
formation energy from the elements = -0.117 eV/atom
total DFT energy (no corrections) = -3.39 eV per atom
N(E_F) = 1.5 states/eV/f.u.